1.
A relaxed structure of SmZrTc, computed with PBE.

Cell and atoms, written as POSCAR:
```
SmZrTc
1.0
6.578 0.000 0.000
0.000 6.578 0.000
0.000 0.000 6.578
Sm Zr Tc
4 4 4
direct
0.000 0.000 0.000
0.000 0.500 0.500
0.500 0.000 0.500
0.500 0.500 0.000
0.250 0.250 0.250
0.250 0.750 0.750
0.750 0.250 0.750
0.750 0.750 0.250
0.250 0.250 0.750
0.250 0.750 0.250
0.750 0.250 0.250
0.750 0.750 0.750
```

The value obtained for the formation energy is 1.122 eV/atom.


2.
A relaxed structure of TmPuHf, computed with PBE.

Cell and atoms, written as POSCAR:
```
TmPuHf
1.0
7.136 0.000 0.000
0.000 7.136 0.000
0.000 0.000 7.136
Tm Pu Hf
4 4 4
direct
0.000 0.000 0.000
0.000 0.500 0.500
0.500 0.000 0.500
0.500 0.500 0.000
0.000 0.000 0.500
0.000 0.500 0.000
0.500 0.000 0.000
0.500 0.500 0.500
0.250 0.250 0.750
0.250 0.750 0.250
0.750 0.250 0.250
0.750 0.750 0.750
```

The value obtained for the formation energy is 0.812 eV/atom.


3.
A relaxed structure of PrO, computed with PBE.

Cell and atoms, written as POSCAR:
```
PrO
1.0
5.068 0.000 0.000
0.000 5.068 0.000
0.000 0.000 5.068
Pr O
4 4
direct
0.000 0.000 0.000
0.000 0.500 0.500
0.500 0.000 0.500
0.500 0.500 0.000
0.000 0.000 0.500
0.000 0.500 0.000
0.500 0.000 0.000
0.500 0.500 0.500
```


Q: Which relative energy among the computed polymorphs values were calculated for the entries above? A: 438 0 0, in meV/atom.